Entry 1:
Mo3PtAu, optimized geometry, DFT GGA-PBE; ΔE to the lowest computed polymorph = 0.0 kJ per mole of atoms; E_form = 1708 meV per atom; theoretical density = 10.47 Mg/m³
1.0
4.760 0.000 0.000
0.000 4.760 0.000
0.000 0.000 4.760
Mo Pt Au
3 1 1
Direct
0.000 0.000 0.500 Mo
0.000 0.500 0.000 Mo
0.500 0.000 0.000 Mo
0.000 0.000 0.000 Pt
0.500 0.500 0.500 Au



Entry 2:
Gd2TeI, optimized geometry, DFT GGA-PBE; ΔE to the lowest computed polymorph = 1.1 kJ per mole of atoms; theoretical density = 8.35 Mg/m³
1.0
3.834 0.000 0.000
0.000 3.834 0.000
0.000 0.000 7.703
Gd Te I
2 1 1
Direct
0.000 0.000 0.235 Gd
0.000 0.000 0.765 Gd
0.500 0.500 0.000 Te
0.500 0.500 0.500 I



Entry 3:
Tb4Sm3Te8, optimized geometry, DFT GGA-PBE; theoretical density = 7.31 Mg/m³; E_tot = -0.3866 Ry per atom
1.0
6.207 -6.209 0.000
6.207 6.209 0.000
-6.202 0.000 6.211
Tb Sm Te
4 3 8
Direct
0.000 0.000 0.000 Tb
0.000 0.000 0.500 Tb
0.000 0.500 0.000 Tb
0.500 0.000 0.000 Tb
0.000 0.500 0.500 Sm
0.500 0.000 0.500 Sm
0.500 0.500 0.500 Sm
0.248 0.752 0.500 Te
0.252 0.252 0.508 Te
0.252 0.252 0.996 Te
0.254 0.746 0.000 Te
0.746 0.254 0.000 Te
0.748 0.748 0.004 Te
0.748 0.748 0.492 Te
0.752 0.248 0.500 Te



Entry 4:
Nd8ErIn6, optimized geometry, DFT GGA-PBE; E_form = -242 meV per atom; theoretical density = 6.81 Mg/m³
1.0
4.613 2.663 6.647
-4.613 2.663 6.647
0.000 -5.327 6.647
Nd Er In
8 1 6
Direct
0.050 0.385 0.719 Nd
0.165 0.165 0.165 Nd
0.281 0.950 0.615 Nd
0.385 0.719 0.050 Nd
0.615 0.281 0.950 Nd
0.719 0.050 0.385 Nd
0.835 0.835 0.835 Nd
0.950 0.615 0.281 Nd
0.500 0.500 0.500 Er
0.119 0.772 0.447 In
0.228 0.553 0.881 In
0.447 0.119 0.772 In
0.553 0.881 0.228 In
0.772 0.447 0.119 In
0.881 0.228 0.553 In



Entry 5:
AcDySe, optimized geometry, DFT GGA-PBE; theoretical density = 7.79 Mg/m³; E_tot = -0.3758 Ry per atom
1.0
4.051 0.000 0.000
-2.025 3.508 0.000
0.000 0.000 7.029
Ac Dy Se
1 1 1
Direct
0.000 0.000 0.000 Ac
0.667 0.333 0.455 Dy
0.333 0.667 0.696 Se



Entry 6:
Cu2P2Ru, optimized geometry, DFT GGA-PBE; E_form = -150 meV per atom; theoretical density = 6.84 Mg/m³
1.0
5.922 0.000 0.000
0.000 5.922 0.000
0.000 0.000 4.014
Cu P Ru
4 4 2
Direct
0.240 0.260 0.000 Cu
0.260 0.760 0.000 Cu
0.740 0.240 0.000 Cu
0.760 0.740 0.000 Cu
0.129 0.629 0.500 P
0.371 0.129 0.500 P
0.629 0.871 0.500 P
0.871 0.371 0.500 P
0.000 0.000 0.500 Ru
0.500 0.500 0.500 Ru



Question: Among the records above, which one has the lowest theoretical density?
Answer: Nd8ErIn6



Question: The lowest theoretical density belongs to which entry?
Answer: Nd8ErIn6